# 1
Computed, not measured: Re2SiBr at its PBEsol-relaxed geometry at the meta-GGA SCAN level of DFT.

Cell and atoms, written as POSCAR:
```
Re2SiBr
1.0
2.8919 0.0000 0.0000
1.4459 2.5044 0.0000
1.4459 0.8348 8.2085
Br Re Si
1 2 1
Cartesian
0.0000 0.0000 0.0000
1.4459 0.8348 2.1866
4.3378 2.5044 6.0218
2.8919 1.6696 4.1042
```

Summary:
The calculation puts the total magnetization at 0.00 μB/f.u. The electronic total energy comes out at -168.8 eV/cell.


# 2
Computed, not measured: ZrNbOsSe2 at its PBEsol-relaxed geometry at the meta-GGA SCAN level of DFT.

Cell and atoms, written as POSCAR:
```
ZrNbOsSe2
1.0
4.7647 0.0000 0.0000
0.0000 4.7647 0.0000
0.0000 0.0000 5.3072
Nb Os Se Zr
1 1 2 1
Cartesian
0.0000 0.0000 0.0000
2.3824 2.3824 2.6536
0.0000 2.3824 0.0000
2.3824 0.0000 0.0000
0.0000 0.0000 2.6536
```

Summary:
The calculation puts the total magnetization at 2.66 μB/f.u. The electronic total energy comes out at -169.8 eV/cell.


# 3
Computed, not measured: LiMn2OF3 at its PBEsol-relaxed geometry at the meta-GGA SCAN level of DFT.

Cell and atoms, written as POSCAR:
```
LiMn2OF3
1.0
5.1659 0.0000 0.0000
0.0000 6.1590 0.0000
0.0000 -3.0795 5.3339
Li Mn O F
2 4 2 6
Cartesian
5.0500 0.0000 3.5559
0.1159 3.0795 1.7780
2.5829 1.5398 2.6669
2.5829 -1.5398 2.6669
2.5829 3.0795 0.0000
0.0000 0.0000 0.0000
1.7423 0.0000 3.5559
3.4236 3.0795 1.7780
4.0702 1.4749 4.4074
4.0702 -1.4749 4.4074
1.0957 3.0795 3.4810
4.0702 0.0000 1.8529
1.0957 1.6046 0.9264
1.0957 4.5544 0.9264
```

Summary:
The calculation puts the total magnetization at 10.00 μB/f.u. Its energy above the most stable polymorph in this dataset is 0.012 eV/atom. The electronic total energy comes out at -148.2 eV/cell.


# 4
Computed, not measured: ZrAl2NiPb at its PBEsol-relaxed geometry at the meta-GGA SCAN level of DFT.

Cell and atoms, written as POSCAR:
```
ZrAl2NiPb
1.0
5.1207 0.0000 0.0000
0.0000 5.1207 0.0000
0.0000 0.0000 5.4265
Pb Ni Al Zr
1 1 2 1
Cartesian
0.0000 0.0000 2.7133
2.5604 2.5604 2.7133
0.0000 2.5604 0.0000
2.5604 0.0000 0.0000
0.0000 0.0000 0.0000
```

Summary:
The calculation puts the total magnetization at 1.11 μB/f.u. The electronic total energy comes out at -131.7 eV/cell. The energy relative to the elements is 1.29 eV per atom.